# 1
First-principles (PBE) data for crystalline LiMn2Co at its relaxed geometry, as listed in Alexandria via LeMat-Bulk.

Fermi-level density of states (states/eV per cell): 8.6
Total energy (eV per atom): -6.55
Total moment (μB per formula unit): 7.3

Cell: 2.763 4.270 8.652 Å, 90.00 90.00 90.00°
Space group Cmmm (No. 65)
Symmetry-distinct sites (fractional):
Li (0.000, 0.000, 0.000) [2 per cell]
Mn (0.000, 0.500, 0.268) [4 per cell]
Co (0.000, 0.000, 0.500) [2 per cell]



# 2
First-principles (PBE) data for crystalline Ho3Er4Au4 at its relaxed geometry, as listed in Alexandria via LeMat-Bulk.

Fermi-level density of states (states/eV per cell): 17.3
Total energy (eV per atom): -4.67
Total moment (μB per formula unit): 0.0

Cell: 4.800 7.644 15.537 Å, 90.00 90.00 90.00°
Space group Immm (No. 71)
Symmetry-distinct sites (fractional):
Ho (0.000, 0.000, 0.000) [2 per cell]
Ho (0.000, 0.500, 0.103) [4 per cell]
Er (0.000, 0.286, 0.327) [8 per cell]
Au (0.000, 0.000, 0.204) [4 per cell]
Au (0.000, 0.189, 0.500) [4 per cell]



# 3
First-principles (PBE) data for crystalline NpClO at its relaxed geometry, as listed in Alexandria via LeMat-Bulk.

Fermi-level density of states (states/eV per cell): 11.6
Energy relative to the elements, uncorrected (meV/atom): -2011
Total moment (μB per formula unit): 4.0

Cell: 3.265 3.265 10.239 Å, 90.00 90.00 90.00°
Space group I4mm (No. 107)
Symmetry-distinct sites (fractional):
Np (0.000, 0.000, 0.000) [2 per cell]
Cl (0.000, 0.000, 0.717) [2 per cell]
O (0.000, 0.000, 0.449) [2 per cell]



# 4
First-principles (PBE) data for crystalline Sr2AlTlF8 at its relaxed geometry, as listed in Alexandria via LeMat-Bulk.

Fermi-level density of states (states/eV per cell): 0.0
Energy relative to the elements, uncorrected (meV/atom): -3407
Total moment (μB per formula unit): 0.0

Cell: 5.117 5.253 7.502 Å, 75.29 88.45 80.21°
Space group P-1 (No. 2)
Symmetry-distinct sites (fractional):
Sr (0.027, 0.118, 0.226) [2 per cell]
Al (0.500, 0.500, 0.000) [1 per cell]
Tl (0.500, 0.500, 0.500) [1 per cell]
F (0.076, 0.223, 0.518) [2 per cell]
F (0.223, 0.403, 0.907) [2 per cell]
F (0.265, 0.752, 0.086) [2 per cell]
F (0.490, 0.239, 0.216) [2 per cell]



# 5
First-principles (PBE) data for crystalline LiAcGa4 at its relaxed geometry, as listed in Alexandria via LeMat-Bulk.

Fermi-level density of states (states/eV per cell): 3.6
Total energy (eV per atom): -3.41
Total moment (μB per formula unit): 0.0

Cell: 4.347 7.356 8.281 Å, 90.00 90.00 90.00°
Space group Immm (No. 71)
Symmetry-distinct sites (fractional):
Li (0.000, 0.000, 0.000) [2 per cell]
Ac (0.000, 0.500, 0.000) [2 per cell]
Ga (0.000, 0.309, 0.339) [8 per cell]



# 6
First-principles (PBE) data for crystalline AsPb3 at its relaxed geometry, as listed in Alexandria via LeMat-Bulk.

Fermi-level density of states (states/eV per cell): 5.1
Total energy (eV per atom): -3.83
Total moment (μB per formula unit): 0.0

Cell: 6.7712 6.7712 5.7408 Å, 90.00 90.00 120.00°
Space group P6_3/mmc (No. 194)
Symmetry-distinct sites (fractional):
As (0.3333, 0.6667, 0.2500) [2 per cell]
Pb (0.1699, 0.3398, 0.7500) [6 per cell]



# 7
First-principles (PBE) data for crystalline Tc2OsSe at its relaxed geometry, as listed in Alexandria via LeMat-Bulk.

Fermi-level density of states (states/eV per cell): 2.3
Energy relative to the elements, uncorrected (meV/atom): 170
Total moment (μB per formula unit): 0.0

Cell: 2.931 2.931 6.784 Å, 90.00 90.00 90.00°
Space group P4/mmm (No. 123)
Symmetry-distinct sites (fractional):
Tc (0.000, 0.000, 0.236) [2 per cell]
Os (0.500, 0.500, 0.500) [1 per cell]
Se (0.500, 0.500, 0.000) [1 per cell]



# 8
First-principles (PBE) data for crystalline Be2RuBr at its relaxed geometry, as listed in Alexandria via LeMat-Bulk.

Fermi-level density of states (states/eV per cell): 7.5
Energy relative to the elements, uncorrected (meV/atom): 843
Total moment (μB per formula unit): 0.0

Cell: 5.955 5.955 5.955 Å, 90.00 90.00 90.00°
Space group F-43m (No. 216)
Symmetry-distinct sites (fractional):
Be (0.000, 0.000, 0.000) [4 per cell]
Be (0.250, 0.250, 0.250) [4 per cell]
Ru (0.250, 0.250, 0.750) [4 per cell]
Br (0.000, 0.000, 0.500) [4 per cell]



# 9
First-principles (PBE) data for crystalline Na2TbInO4 at its relaxed geometry, as listed in Alexandria via LeMat-Bulk.

Fermi-level density of states (states/eV per cell): 0.0
Energy relative to the elements, uncorrected (meV/atom): -2179
Total moment (μB per formula unit): 0.0

Cell: 5.786 3.376 5.939 Å, 90.00 109.29 90.00°
Space group P2/m (No. 10)
Symmetry-distinct sites (fractional):
Na (0.000, 0.000, 0.000) [1 per cell]
Na (0.500, 0.500, 0.000) [1 per cell]
Tb (0.000, 0.500, 0.500) [1 per cell]
In (0.500, 0.000, 0.500) [1 per cell]
O (0.240, 0.000, 0.716) [2 per cell]
O (0.270, 0.500, 0.285) [2 per cell]



# 10
First-principles (PBE) data for crystalline TiCu2Hg at its relaxed geometry, as listed in Alexandria via LeMat-Bulk.

Fermi-level density of states (states/eV per cell): 2.1
Total energy (eV per atom): -4.06
Total moment (μB per formula unit): 0.6

Cell: 3.207 3.207 6.100 Å, 90.00 90.00 90.00°
Space group P4/mmm (No. 123)
Symmetry-distinct sites (fractional):
Ti (0.000, 0.000, 0.000) [1 per cell]
Cu (0.500, 0.500, 0.223) [2 per cell]
Hg (0.000, 0.000, 0.500) [1 per cell]



# 11
First-principles (PBE) data for crystalline Rb3As5Se12 at its relaxed geometry, as listed in Alexandria via LeMat-Bulk.

Fermi-level density of states (states/eV per cell): 52.3
Energy relative to the elements, uncorrected (meV/atom): -209
Total moment (μB per formula unit): 0.0

Cell: 16.896 16.896 16.896 Å, 90.00 90.00 90.00°
Space group Ia-3d (No. 230)
Symmetry-distinct sites (fractional):
Rb (0.000, 0.250, 0.125) [24 per cell]
As (0.000, 0.000, 0.000) [16 per cell]
As (0.000, 0.250, 0.375) [24 per cell]
Se (0.039, 0.052, 0.648) [96 per cell]



# 12
First-principles (PBE) data for crystalline Ba2NaSnPd at its relaxed geometry, as listed in Alexandria via LeMat-Bulk.

Fermi-level density of states (states/eV per cell): 5.5
Total energy (eV per atom): -3.25
Total moment (μB per formula unit): 0.2

Cell: 6.286 6.286 5.165 Å, 90.00 90.00 90.00°
Space group P4/mmm (No. 123)
Symmetry-distinct sites (fractional):
Ba (0.000, 0.500, 0.000) [2 per cell]
Na (0.000, 0.000, 0.500) [1 per cell]
Sn (0.500, 0.500, 0.500) [1 per cell]
Pd (0.500, 0.500, 0.000) [1 per cell]



# 13
First-principles (PBE) data for crystalline Nb3FeH at its relaxed geometry, as listed in Alexandria via LeMat-Bulk.

Fermi-level density of states (states/eV per cell): 5.7
Total energy (eV per atom): -8.22
Total moment (μB per formula unit): 0.0

Cell: 4.104 4.104 4.104 Å, 90.00 90.00 90.00°
Space group Pm-3m (No. 221)
Symmetry-distinct sites (fractional):
Nb (0.000, 0.000, 0.500) [3 per cell]
Fe (0.500, 0.500, 0.500) [1 per cell]
H (0.000, 0.000, 0.000) [1 per cell]



# 14
First-principles (PBE) data for crystalline HfMgAsBr2 at its relaxed geometry, as listed in Alexandria via LeMat-Bulk.

Fermi-level density of states (states/eV per cell): 2.3
Energy relative to the elements, uncorrected (meV/atom): 101
Total moment (μB per formula unit): 0.9

Cell: 4.802 4.802 5.698 Å, 90.00 90.00 90.00°
Space group P4/mmm (No. 123)
Symmetry-distinct sites (fractional):
Hf (0.000, 0.000, 0.000) [1 per cell]
Mg (0.500, 0.500, 0.500) [1 per cell]
As (0.500, 0.500, 0.000) [1 per cell]
Br (0.000, 0.500, 0.500) [2 per cell]



# 15
First-principles (PBE) data for crystalline CaMoH3 at its relaxed geometry, as listed in Alexandria via LeMat-Bulk.

Fermi-level density of states (states/eV per cell): 2.3
Total energy (eV per atom): -4.74
Total moment (μB per formula unit): 0.0

Cell: 3.715 3.715 3.715 Å, 90.00 90.00 90.00°
Space group Pm-3m (No. 221)
Symmetry-distinct sites (fractional):
Ca (0.000, 0.000, 0.000) [1 per cell]
Mo (0.500, 0.500, 0.500) [1 per cell]
H (0.000, 0.500, 0.500) [3 per cell]



# 16
First-principles (PBE) data for crystalline Rb2LaFeBr6 at its relaxed geometry, as listed in Alexandria via LeMat-Bulk.

Fermi-level density of states (states/eV per cell): 59.0
Energy relative to the elements, uncorrected (meV/atom): -1386
Total moment (μB per formula unit): 3.0

Cell: 11.170 11.170 11.170 Å, 90.00 90.00 90.00°
Space group Fm-3m (No. 225)
Symmetry-distinct sites (fractional):
Rb (0.250, 0.250, 0.250) [8 per cell]
La (0.000, 0.000, 0.000) [4 per cell]
Fe (0.000, 0.000, 0.500) [4 per cell]
Br (0.000, 0.000, 0.262) [24 per cell]



# 17
First-principles (PBE) data for crystalline LiH2PtSe at its relaxed geometry, as listed in Alexandria via LeMat-Bulk.

Fermi-level density of states (states/eV per cell): 2.0
Total energy (eV per atom): -3.94
Total moment (μB per formula unit): 0.0

Cell: 3.579 3.579 5.057 Å, 90.00 90.00 90.00°
Space group P4/mmm (No. 123)
Symmetry-distinct sites (fractional):
Li (0.000, 0.000, 0.000) [1 per cell]
H (0.000, 0.500, 0.500) [2 per cell]
Pt (0.500, 0.500, 0.500) [1 per cell]
Se (0.500, 0.500, 0.000) [1 per cell]



# 18
First-principles (PBE) data for crystalline Zn2Pb3O8 at its relaxed geometry, as listed in Alexandria via LeMat-Bulk.

Fermi-level density of states (states/eV per cell): 5.0
Energy relative to the elements, uncorrected (meV/atom): -928
Total moment (μB per formula unit): 0.0

Cell: 10.166 6.421 5.748 Å, 90.00 99.59 90.00°
Space group C2/m (No. 12)
Symmetry-distinct sites (fractional):
Zn (0.196, 0.000, 0.064) [4 per cell]
Pb (0.000, 0.243, 0.500) [4 per cell]
Pb (0.000, 0.500, 0.000) [2 per cell]
O (0.109, 0.000, 0.353) [4 per cell]
O (0.111, 0.500, 0.361) [4 per cell]
O (0.132, 0.269, 0.863) [8 per cell]



# 19
First-principles (PBE) data for crystalline Zr3As2H at its relaxed geometry, as listed in Alexandria via LeMat-Bulk.

Fermi-level density of states (states/eV per cell): 16.1
Total energy (eV per atom): -7.35
Total moment (μB per formula unit): 0.0

Cell: 7.532 3.743 14.764 Å, 90.00 90.00 90.00°
Space group Pnma (No. 62)
Symmetry-distinct sites (fractional):
Zr (0.001, 0.250, 0.100) [4 per cell]
Zr (0.120, 0.750, 0.428) [4 per cell]
Zr (0.201, 0.250, 0.732) [4 per cell]
As (0.059, 0.250, 0.288) [4 per cell]
As (0.250, 0.250, 0.546) [4 per cell]
H (0.129, 0.250, 0.868) [4 per cell]



# 20
First-principles (PBE) data for crystalline CdGeRu at its relaxed geometry, as listed in Alexandria via LeMat-Bulk.

Fermi-level density of states (states/eV per cell): 1.2
Total energy (eV per atom): -4.96
Total moment (μB per formula unit): 0.0

Cell: 3.195 3.195 10.023 Å, 90.00 90.00 90.00°
Space group I4mm (No. 107)
Symmetry-distinct sites (fractional):
Cd (0.000, 0.000, 0.000) [2 per cell]
Ge (0.000, 0.000, 0.300) [2 per cell]
Ru (0.000, 0.000, 0.690) [2 per cell]



# 21
First-principles (PBE) data for crystalline Sr2TlHgTe at its relaxed geometry, as listed in Alexandria via LeMat-Bulk.

Fermi-level density of states (states/eV per cell): 2.9
Energy relative to the elements, uncorrected (meV/atom): -369
Total moment (μB per formula unit): 0.0

Cell: 6.227 6.227 5.368 Å, 90.00 90.00 90.00°
Space group P4/mmm (No. 123)
Symmetry-distinct sites (fractional):
Sr (0.000, 0.500, 0.000) [2 per cell]
Tl (0.000, 0.000, 0.500) [1 per cell]
Hg (0.000, 0.000, 0.000) [1 per cell]
Te (0.500, 0.500, 0.500) [1 per cell]